Material: SrLiPtF6
Method: DFT, PBE-GGA
State: optimized geometry

a b c (Å): 5.297 5.421 5.421
angles (deg): 120.00 90.00 90.00
Site moments in Bohr magnetons follow the coordinates.
Positions (direct):
Sr 0.000 0.333 0.667  0.01
Li 0.500 0.667 0.333  0.00
Pt 0.500 0.000 0.000  0.69
F 0.716 0.690 0.665  0.04
F 0.716 0.335 0.025  0.04
F 0.716 0.975 0.310  0.04
F 0.284 0.335 0.310  0.04
F 0.284 0.690 0.025  0.04
F 0.284 0.975 0.665  0.04

Calculated values
DOS at the Fermi energy: 6.34 states/eV/f.u.
electronic total energy: -4.773 eV/atom
SG: P312 (149)
size of the total moment: 1.00 μB/f.u.


Material: SrLiPtF2
Method: DFT, PBE-GGA
State: optimized geometry

a b c (Å): 4.496 8.500 4.496
angles (deg): 90.00 90.00 90.00
Site moments in Bohr magnetons follow the coordinates.
Positions (direct):
Sr 0.000 0.000 0.000  0.00
Li 0.000 0.500 0.000  0.00
Pt 0.500 0.500 0.500  0.80
F 0.000 0.000 0.500  0.00
F 0.500 0.000 0.000  0.00

Calculated values
DOS at the Fermi energy: 5.37 states/eV/f.u.
electronic total energy: -4.129 eV/atom
SG: P4/mmm (123)
size of the total moment: 0.96 μB/f.u.


Material: SrLi2PtF
Method: DFT, PBE-GGA
State: optimized geometry

a b c (Å): 4.223 4.223 5.042
angles (deg): 90.00 90.00 90.00
Positions (direct):
Sr 0.000 0.000 0.500
Li 0.000 0.500 0.000
Li 0.500 0.000 0.000
Pt 0.500 0.500 0.500
F 0.000 0.000 0.000

Calculated values
DOS at the Fermi energy: 0.95 states/eV/f.u.
electronic total energy: -4.050 eV/atom
SG: P4/mmm (123)
size of the total moment: 0.00 μB/f.u.